The following is a PBE calculation of a geometry-optimized LiMg6BO7 structure, from Alexandria via LeMat-Bulk.

For the electronic total energy, the calculation gives -5.574 eV/atom. The value obtained for the uncorrected formation energy is -198 kJ per mole of atoms. As for the distance to the lowest polymorph of the same formula: 74 meV/atom.

It has space group P4mm (No. 99), with a = 4.172 Å, b = 4.172 Å, c = 8.525 Å, α = 90.00°, β = 90.00° and γ = 90.00°. The distinct sites, in fractional coordinates, are Li at (0.000, 0.000, 0.000), Mg at (0.000, 0.000, 0.506), Mg at (0.000, 0.500, 0.229), Mg at (0.000, 0.500, 0.770), Mg at (0.500, 0.500, 0.493), B at (0.500, 0.500, 0.982), O at (0.000, 0.000, 0.262), O at (0.000, 0.000, 0.748), O at (0.000, 0.500, 0.002), O at (0.000, 0.500, 0.513) and O at (0.500, 0.500, 0.813).